1.
Density functional theory data (PBE) for VCu2H2 after structural relaxation.

```
VCu2H2
1.0
-1.095 2.250 4.270
-4.474 -2.115 -0.033
1.386 -2.961 1.916
H V Cu
4 2 4
Direct
0.169 0.669 0.000
0.331 0.169 0.000
0.831 0.331 0.000
0.669 0.831 0.000
0.000 0.000 0.000
0.500 0.500 0.000
0.178 0.678 0.500
0.822 0.322 0.500
0.678 0.822 0.500
0.322 0.178 0.500
```

Results
* polymorph energy (0 for the lowest one): 0.000 eV/atom


2.
Density functional theory data (PBE) for In2GaPt9 after structural relaxation.

```
In2GaPt9
1.0
4.018 0.000 0.000
0.000 4.018 0.000
0.000 0.000 12.036
Pt In Ga
9 2 1
Direct
0.000 0.500 0.158
0.500 0.000 0.158
0.500 0.500 0.000
0.000 0.500 0.842
0.500 0.000 0.500
0.500 0.500 0.671
0.500 0.000 0.842
0.500 0.500 0.329
0.000 0.500 0.500
0.000 0.000 0.330
0.000 0.000 0.670
0.000 0.000 0.000
```

Results
* E_form: -0.399 eV/atom


3.
Density functional theory data (PBE) for K2AcBe2O4 after structural relaxation.

```
K2AcBe2O4
1.0
3.627 0.000 0.000
0.000 8.366 0.875
-1.813 -2.736 5.995
O K Be Ac
4 2 2 1
Direct
0.207 0.077 0.414
0.793 0.923 0.586
0.432 0.139 0.863
0.568 0.861 0.137
0.155 0.664 0.311
0.845 0.336 0.689
0.687 0.967 0.374
0.313 0.033 0.626
0.000 0.000 0.000
```

Results
* E_form (uncorrected): -2.13 eV per atom


D(E_F): 2.904 11.091 1.236 (states/eV/f.u.)